## SrCaTe2 (GGA-PBEsol)

Data for crystalline SrCaTe2 at its relaxed geometry.

Cell and atoms, written as POSCAR:
```
SrCaTe2
1.0
-0.103 -2.719 2.861
-2.383 -3.607 -3.528
5.044 -1.811 -1.555
Sr Te Ca
1 2 1
Cartesian
1.279 -4.069 -1.111 Sr
-1.192 -1.804 -1.764 Te
2.522 -0.906 -0.777 Te
-0.051 -1.359 1.430 Ca
```

## Properties
polymorph energy (0 for the lowest one)	0.254	eV/atom
SG	C2/m, No. 12
formation energy from raw total energies	-1434	meV/atom
E	-4.190	eV/atom